Entry 1:
# Pm12YTm6 | Alexandria via LeMat-Bulk | PBE | optimized geometry
data_Pm12YTm6
_space_group_name_H-M_alt 'R -3'
_space_group_IT_number 148
_space_group_name_Hall '-R 3'
_cell_length_a 12.0664
_cell_length_b 12.0664
_cell_length_c 15.2281
_cell_angle_alpha 90.00
_cell_angle_beta 90.00
_cell_angle_gamma 120.00
loop_
_atom_site_label
_atom_site_fract_x
_atom_site_fract_y
_atom_site_fract_z
Pm1 0.0036 0.8285 0.1916
Pm2 0.0464 0.8494 0.4162
Y1 0.0000 0.0000 0.0000
Tm1 0.0150 0.4277 0.6868
# Total magnetization: 0.00 μB/cell
# Energy relative to the lowest polymorph listed for this composition: 0.00 eV/f.u.
# DOS at the Fermi energy: 99.26 states/eV per cell
# ΔE_f: 0.1376 eV per atom

---

Entry 2:
# Pm7YTm12 | Alexandria via LeMat-Bulk | PBE | optimized geometry
data_Pm7YTm12
_space_group_name_H-M_alt 'R -3'
_space_group_IT_number 148
_space_group_name_Hall '-R 3'
_cell_length_a 11.8799
_cell_length_b 11.8799
_cell_length_c 16.1762
_cell_angle_alpha 90.00
_cell_angle_beta 90.00
_cell_angle_gamma 120.00
loop_
_atom_site_label
_atom_site_fract_x
_atom_site_fract_y
_atom_site_fract_z
Pm1 0.0000 0.0000 0.0000
Pm2 0.0533 0.1888 0.2905
Y1 0.0000 0.0000 0.5000
Tm1 0.0220 0.4478 0.2207
Tm2 0.0503 0.5865 0.5834
# Total magnetization: 0.00 μB/cell
# Energy relative to the lowest polymorph listed for this composition: 0.00 eV/f.u.
# DOS at the Fermi energy: 106.04 states/eV per cell
# ΔE_f: 0.2326 eV per atom

---

Entry 3:
# PmY3Tm2 | Alexandria via LeMat-Bulk | PBE | optimized geometry
data_PmY3Tm2
_space_group_name_H-M_alt 'C 1 2/m 1'
_space_group_IT_number 12
_space_group_name_Hall '-C 2y'
_cell_length_a 21.976
_cell_length_b 3.637
_cell_length_c 11.277
_cell_angle_alpha 90.00
_cell_angle_beta 120.86
_cell_angle_gamma 90.00
loop_
_atom_site_label
_atom_site_fract_x
_atom_site_fract_y
_atom_site_fract_z
Pm1 0.110 0.000 0.233
Y1 0.055 0.500 0.431
Y2 0.113 0.000 0.739
Y3 0.223 0.000 0.600
Tm1 0.057 0.500 0.931
Tm2 0.222 0.000 0.095
# Total magnetization: 0.00 μB/cell
# Energy relative to the lowest polymorph listed for this composition: 0.00 eV/f.u.
# DOS at the Fermi energy: 41.60 states/eV per cell
# ΔE_f: 0.0052 eV per atom

---

Entry 4:
# Pm5YTm4 | Alexandria via LeMat-Bulk | PBE | optimized geometry
data_Pm5YTm4
_space_group_name_H-M_alt 'P 4/m m m'
_space_group_IT_number 123
_space_group_name_Hall '-P 4 2'
_cell_length_a 3.593
_cell_length_b 3.593
_cell_length_c 25.040
_cell_angle_alpha 90.00
_cell_angle_beta 90.00
_cell_angle_gamma 90.00
loop_
_atom_site_label
_atom_site_fract_x
_atom_site_fract_y
_atom_site_fract_z
Pm1 0.000 0.000 0.000
Pm2 0.000 0.000 0.199
Pm3 0.000 0.000 0.398
Y1 0.500 0.500 0.500
Tm1 0.500 0.500 0.099
Tm2 0.500 0.500 0.298
# Total magnetization: 0.00 μB/cell
# Energy relative to the lowest polymorph listed for this composition: 0.00 eV/f.u.
# DOS at the Fermi energy: 14.23 states/eV per cell
# ΔE_f: 0.0190 eV per atom

---

Entry 5:
# PmY2Tm | Alexandria via LeMat-Bulk | PBE | optimized geometry
data_PmY2Tm
_space_group_name_H-M_alt 'R 3 m'
_space_group_IT_number 160
_space_group_name_Hall 'R 3 -2"'
_cell_length_a 3.5958
_cell_length_b 3.5958
_cell_length_c 34.5953
_cell_angle_alpha 90.00
_cell_angle_beta 90.00
_cell_angle_gamma 120.00
loop_
_atom_site_label
_atom_site_fract_x
_atom_site_fract_y
_atom_site_fract_z
Pm1 0.0000 0.0000 0.0000
Y1 0.0000 0.0000 0.2491
Y2 0.0000 0.0000 0.4187
Tm1 0.0000 0.0000 0.8341
# Total magnetization: 0.00 μB/cell
# Energy relative to the lowest polymorph listed for this composition: 0.00 eV/f.u.
# DOS at the Fermi energy: 17.79 states/eV per cell
# ΔE_f: 0.0188 eV per atom

---

Entry 6:
# Pm5Y3Tm2 | Alexandria via LeMat-Bulk | PBE | optimized geometry
data_Pm5Y3Tm2
_space_group_name_H-M_alt 'C 1 2/c 1'
_space_group_IT_number 15
_space_group_name_Hall '-C 2yc'
_cell_length_a 10.701
_cell_length_b 14.853
_cell_length_c 10.001
_cell_angle_alpha 90.00
_cell_angle_beta 122.25
_cell_angle_gamma 90.00
loop_
_atom_site_label
_atom_site_fract_x
_atom_site_fract_y
_atom_site_fract_z
Pm1 0.000 0.017 0.250
Pm2 0.000 0.227 0.250
Pm3 0.000 0.476 0.750
Pm4 0.241 0.372 0.232
Y1 0.000 0.271 0.750
Y2 0.158 0.376 0.555
Tm1 0.149 0.126 0.058
# Total magnetization: 0.00 μB/cell
# DOS at the Fermi energy: 70.51 states/eV per cell
# ΔE_f: 0.1846 eV per atom

---

Entry 7:
# Pm8Y5Tm | Alexandria via LeMat-Bulk | PBE | optimized geometry
data_Pm8Y5Tm
_space_group_name_H-M_alt 'I -4'
_space_group_IT_number 82
_space_group_name_Hall 'I -4'
_cell_length_a 9.723
_cell_length_b 9.723
_cell_length_c 10.238
_cell_angle_alpha 90.00
_cell_angle_beta 90.00
_cell_angle_gamma 90.00
loop_
_atom_site_label
_atom_site_fract_x
_atom_site_fract_y
_atom_site_fract_z
Pm1 0.068 0.171 0.157
Pm2 0.091 0.321 0.497
Y1 0.000 0.500 0.250
Y2 0.109 0.295 0.825
Tm1 0.000 0.000 0.500
# Total magnetization: 0.00 μB/cell
# DOS at the Fermi energy: 42.95 states/eV per cell
# ΔE_f: 0.2620 eV per atom

---

Entry 8:
# Pm2Y3Tm4 | Alexandria via LeMat-Bulk | PBE | optimized geometry
data_Pm2Y3Tm4
_space_group_name_H-M_alt 'C 1 2/c 1'
_space_group_IT_number 15
_space_group_name_Hall '-C 2yc'
_cell_length_a 16.601
_cell_length_b 11.572
_cell_length_c 5.988
_cell_angle_alpha 90.00
_cell_angle_beta 96.98
_cell_angle_gamma 90.00
loop_
_atom_site_label
_atom_site_fract_x
_atom_site_fract_y
_atom_site_fract_z
Pm1 0.106 0.114 0.278
Y1 0.000 0.150 0.750
Y2 0.164 0.349 0.587
Tm1 0.061 0.393 0.045
Tm2 0.233 0.109 0.872
# Total magnetization: 0.00 μB/cell
# DOS at the Fermi energy: 55.08 states/eV per cell
# ΔE_f: 0.1006 eV per atom